The following is a PBE-GGA calculation of a relaxed Mg3AlV crystal, from Alexandria.

Calculated values
Relative energy among the computed polymorphs, meV/atom: 0
E_form, eV per atom: 0.880
Calculated total energy, eV for the cell shown: -13.2
Calculated volume, Å³/cell: 132.4
Space-group type: No. 221
Theoretical density, g/cm3: 1.89
Total magnetic moment, Bohr magnetons per cell: 4.185

Geometry as extended XYZ:
```
5
Lattice="5.097 0.000 0.000 0.000 5.097 0.000 0.000 0.000 5.097" Properties=species:S:1:pos:R:3 pbc="T T T"
Mg 2.548 0.000 0.000
Mg 0.000 0.000 2.548
Mg 0.000 2.548 0.000
Al 0.000 0.000 0.000
V 2.548 2.548 2.548
```